# 1
A geometry-optimized Er4ZnRh2 structure. Source: Alexandria via LeMat-Bulk, functional PBE.

abc: 4.821 4.821 6.863
angles: 90.00 90.00 90.00
Fractional positions:
Er 0.000 0.500 0.247
Er 0.000 0.500 0.753
Er 0.500 0.000 0.247
Er 0.500 0.000 0.753
Zn 0.000 0.000 0.500
Rh 0.000 0.000 0.000
Rh 0.500 0.500 0.500

Calculated values
The formation energy comes out at -4.250 eV per formula unit. The density of states at the Fermi level comes out at 0.7942 states/eV per atom. The calculated total energy comes out at -5.497 eV per atom.



# 2
A geometry-optimized Er4ZnRh structure. Source: Alexandria via LeMat-Bulk, functional PBE.

abc: 9.385 9.385 9.385
angles: 60.00 60.00 60.00
Fractional positions:
Er 0.186 0.186 0.814
Er 0.186 0.814 0.186
Er 0.186 0.814 0.814
Er 0.395 0.395 0.395
Er 0.395 0.395 0.814
Er 0.395 0.814 0.395
Er 0.559 0.559 0.941
Er 0.559 0.941 0.559
Er 0.559 0.941 0.941
Er 0.814 0.186 0.186
Er 0.814 0.186 0.814
Er 0.814 0.395 0.395
Er 0.814 0.814 0.186
Er 0.941 0.559 0.559
Er 0.941 0.559 0.941
Er 0.941 0.941 0.559
Zn 0.171 0.171 0.171
Zn 0.171 0.171 0.487
Zn 0.171 0.487 0.171
Zn 0.487 0.171 0.171
Rh 0.182 0.606 0.606
Rh 0.606 0.182 0.606
Rh 0.606 0.606 0.182
Rh 0.606 0.606 0.606

Calculated values
The formation energy comes out at -2.925 eV per formula unit. The density of states at the Fermi level comes out at 0.6163 states/eV per atom. The calculated total energy comes out at -4.967 eV per atom.



# 3
A geometry-optimized Er5ZnRh4 structure. Source: Alexandria via LeMat-Bulk, functional PBE.

abc: 3.419 3.419 17.173
angles: 90.00 90.00 90.00
Fractional positions:
Er 0.000 0.000 0.000
Er 0.000 0.000 0.197
Er 0.000 0.000 0.391
Er 0.000 0.000 0.609
Er 0.000 0.000 0.803
Zn 0.500 0.500 0.500
Rh 0.500 0.500 0.098
Rh 0.500 0.500 0.296
Rh 0.500 0.500 0.704
Rh 0.500 0.500 0.902

Calculated values
The formation energy comes out at -8.225 eV per formula unit. The density of states at the Fermi level comes out at 0.6958 states/eV per atom. The calculated total energy comes out at -6.172 eV per atom.



# 4
A geometry-optimized Er3Zn3Rh2 structure. Source: Alexandria via LeMat-Bulk, functional PBE.

abc: 7.247 16.247 5.421
angles: 90.00 90.00 90.00
Fractional positions:
Er 0.037 0.107 0.116
Er 0.037 0.393 0.116
Er 0.166 0.250 0.648
Er 0.334 0.750 0.148
Er 0.463 0.607 0.616
Er 0.463 0.893 0.616
Er 0.537 0.107 0.384
Er 0.537 0.393 0.384
Er 0.666 0.250 0.852
Er 0.834 0.750 0.352
Er 0.963 0.607 0.884
Er 0.963 0.893 0.884
Zn 0.174 0.028 0.596
Zn 0.174 0.472 0.596
Zn 0.175 0.750 0.644
Zn 0.325 0.250 0.144
Zn 0.326 0.528 0.096
Zn 0.326 0.972 0.096
Zn 0.674 0.028 0.904
Zn 0.674 0.472 0.904
Zn 0.675 0.750 0.856
Zn 0.825 0.250 0.356
Zn 0.826 0.528 0.404
Zn 0.826 0.972 0.404
Rh 0.120 0.618 0.371
Rh 0.120 0.882 0.371
Rh 0.380 0.118 0.871
Rh 0.380 0.382 0.871
Rh 0.620 0.618 0.129
Rh 0.620 0.882 0.129
Rh 0.880 0.118 0.629
Rh 0.880 0.382 0.629

Calculated values
The formation energy comes out at -4.973 eV per formula unit. The density of states at the Fermi level comes out at 0.5154 states/eV per atom. The calculated total energy comes out at -4.648 eV per atom.



# 5
A geometry-optimized Er8ZnRh2 structure. Source: Alexandria via LeMat-Bulk, functional PBE.

abc: 7.766 7.766 5.446
angles: 97.97 97.97 113.71
Fractional positions:
Er 0.000 0.000 0.000
Er 0.048 0.305 0.606
Er 0.139 0.617 0.191
Er 0.305 0.048 0.606
Er 0.452 0.709 0.777
Er 0.617 0.139 0.191
Er 0.709 0.452 0.777
Er 0.757 0.757 0.383
Zn 0.379 0.379 0.185
Rh 0.072 0.685 0.692
Rh 0.685 0.072 0.692

Calculated values
The formation energy comes out at -3.609 eV per formula unit. The density of states at the Fermi level comes out at 1.1059 states/eV per atom. The calculated total energy comes out at -5.099 eV per atom.



# 6
A geometry-optimized Er3Zn9Rh2 structure. Source: Alexandria via LeMat-Bulk, functional PBE.

abc: 8.003 8.003 8.003
angles: 148.57 111.26 77.53
Fractional positions:
Er 0.000 0.000 0.000
Er 0.308 0.308 0.000
Er 0.692 0.692 0.000
Zn 0.024 0.663 0.361
Zn 0.150 0.872 0.278
Zn 0.302 0.663 0.639
Zn 0.406 0.128 0.278
Zn 0.500 0.000 0.500
Zn 0.594 0.872 0.722
Zn 0.698 0.337 0.361
Zn 0.850 0.128 0.722
Zn 0.976 0.337 0.639
Rh 0.320 0.500 0.820
Rh 0.680 0.500 0.180

Calculated values
The formation energy comes out at -6.147 eV per formula unit. The density of states at the Fermi level comes out at 0.5968 states/eV per atom. The calculated total energy comes out at -3.286 eV per atom.